1.
# Ba5Ag

A PBEsol-optimized structure of Ba5Ag (SCAN, Alexandria).

Its relative energy among the computed polymorphs is 0.08 eV per formula unit.

The space group is C2/m (No. 12) and the conventional cell measures 14.5922, 4.1905 and 10.4700 Å, with angles of 90.00, 112.75 and 90.00 degrees. The distinct sites, in fractional coordinates, are Ba at (0.0000, 0.0000, 0.0000), Ba at (0.1251, 0.5000, 0.3766), Ba at (0.1676, 0.5000, 0.7796) and Ag at (0.0000, 0.0000, 0.5000).



2.
# LiTiGe2

A PBEsol-optimized structure of LiTiGe2 (SCAN, Alexandria).

The space group is Fm-3m (No. 225) and the conventional cell measures 6.2931, 6.2931 and 6.2931 Å, with angles of 90.00, 90.00 and 90.00 degrees. The distinct sites, in fractional coordinates, are Li at (0.0000, 0.0000, 0.0000), Ti at (0.0000, 0.0000, 0.5000) and Ge at (0.2500, 0.2500, 0.2500).



3.
# KSrLi

A PBEsol-optimized structure of KSrLi (SCAN, Alexandria).

The space group is F-43m (No. 216) and the conventional cell measures 8.8330, 8.8330 and 8.8330 Å, with angles of 90.00, 90.00 and 90.00 degrees. The distinct sites, in fractional coordinates, are K at (0.0000, 0.0000, 0.0000), Sr at (0.2500, 0.2500, 0.2500) and Li at (0.0000, 0.0000, 0.5000).



4.
# LiYCd2

A PBEsol-optimized structure of LiYCd2 (SCAN, Alexandria).

The space group is F-43m (No. 216) and the conventional cell measures 6.9041, 6.9041 and 6.9041 Å, with angles of 90.00, 90.00 and 90.00 degrees. The distinct sites, in fractional coordinates, are Li at (0.0000, 0.0000, 0.0000), Y at (0.2500, 0.2500, 0.2500), Cd at (0.0000, 0.0000, 0.5000) and Cd at (0.2500, 0.2500, 0.7500).



5.
# Sr2AgPt

A PBEsol-optimized structure of Sr2AgPt (SCAN, Alexandria).

Its relative energy among the computed polymorphs is 0.00 eV per formula unit.

The space group is Amm2 (No. 38) and the conventional cell measures 4.5790, 4.2471 and 11.2750 Å, with angles of 90.00, 90.00 and 90.00 degrees. The distinct sites, in fractional coordinates, are Sr at (0.0000, 0.0000, 0.0000), Sr at (0.5000, 0.0000, 0.2803), Ag at (0.5000, 0.0000, 0.5724) and Pt at (0.0000, 0.0000, 0.7137).



6.
# Cs3AsBr

A PBEsol-optimized structure of Cs3AsBr (SCAN, Alexandria).

The space group is Pm-3m (No. 221) and the conventional cell measures 6.7617, 6.7617 and 6.7617 Å, with angles of 90.00, 90.00 and 90.00 degrees. The distinct sites, in fractional coordinates, are Cs at (0.0000, 0.0000, 0.5000), As at (0.0000, 0.0000, 0.0000) and Br at (0.5000, 0.5000, 0.5000).



Across the entries above, total magnetic moment takes the values 0.0; 0.9; 0.0; 0.0; 0.0; 1.0 μB per formula unit, respectively.
Across the entries above, electronic total energy takes the values -458.79; -229.86; -126.36; -370.60; -297.45; -156.79 eV/cell, respectively.